Entry from Alexandria: Nd2BePPt6 after structural relaxation (GGA-PBE).

Output
**Energy relative to the elements**: -0.913 eV per atom

Unit cell a=5.625 b=8.584 c=7.790 alpha=90.00 beta=90.00 gamma=90.00
Space group Pmmn (No. 59, origin choice 2)
Symmetry-distinct sites (fractional):
Nd (0.250, 0.008, 0.228) x4
Be (0.250, 0.750, 0.755) x2
P (0.250, 0.250, 0.760) x2
Pt (0.002, 0.750, 0.512) x4
Pt (0.010, 0.750, 0.004) x4
Pt (0.250, 0.002, 0.630) x4

Entry from Alexandria: NdBe2PPt2 after structural relaxation (GGA-PBE).

Output
**Energy relative to the elements**: -0.832 eV per atom

Unit cell a=4.058 b=4.058 c=12.428 alpha=90.00 beta=90.00 gamma=90.00
Space group I4/mmm (No. 139)
Symmetry-distinct sites (fractional):
Nd (0.000, 0.000, 0.000) x2
Be (0.000, 0.000, 0.331) x4
P (0.000, 0.000, 0.500) x2
Pt (0.000, 0.500, 0.250) x4

Entry from Alexandria: NdPaBe2 after structural relaxation (GGA-PBE).

Output
**Energy relative to the elements**: 0.565 eV per atom

Unit cell a=3.3743 b=3.3743 c=25.6026 alpha=90.00 beta=90.00 gamma=120.00
Space group R-3m (No. 166, hexagonal axes)
Symmetry-distinct sites (fractional):
Nd (0.0000, 0.0000, 0.0000) x3
Pa (0.0000, 0.0000, 0.5000) x3
Be (0.0000, 0.0000, 0.2469) x6

Entry from Alexandria: NdBe2Pd5 after structural relaxation (GGA-PBE).

Output
**Energy relative to the elements**: -0.625 eV per atom

Unit cell a=3.934 b=6.477 c=9.862 alpha=90.00 beta=90.00 gamma=90.00
Space group Immm (No. 71)
Symmetry-distinct sites (fractional):
Nd (0.000, 0.000, 0.000) x2
Be (0.000, 0.500, 0.225) x4
Pd (0.000, 0.208, 0.350) x8
Pd (0.000, 0.500, 0.000) x2

Entry from Alexandria: NdBe2Pd6 after structural relaxation (GGA-PBE).

Output
**Energy relative to the elements**: -0.285 eV per atom

Unit cell a=10.864 b=10.864 c=10.864 alpha=90.00 beta=90.00 gamma=90.00
Space group Fd-3m (No. 227, origin choice 2)
Symmetry-distinct sites (fractional):
Nd (0.125, 0.125, 0.125) x8
Be (0.000, 0.000, 0.500) x16
Pd (0.104, 0.375, 0.875) x48

Entry from Alexandria: Nd3Be6Pd20 after structural relaxation (GGA-PBE).

Output
**Energy relative to the elements**: -0.613 eV per atom

Unit cell a=12.081 b=12.081 c=12.081 alpha=90.00 beta=90.00 gamma=90.00
Space group Fm-3m (No. 225)
Symmetry-distinct sites (fractional):
Nd (0.000, 0.000, 0.000) x4
Nd (0.250, 0.250, 0.250) x8
Be (0.000, 0.000, 0.273) x24
Pd (0.000, 0.171, 0.171) x48
Pd (0.115, 0.115, 0.385) x32